A plane-wave DFT calculation with PBE was carried out for a relaxed Ca2RePt crystal.

The structure in CIF format:
```
data_Ca2RePt
_chemical_formula_sum 'Ca6 Re3 Pt3'
_cell_length_a 3.0534
_cell_length_b 3.0534
_cell_length_c 29.3904
_cell_angle_alpha 90.00
_cell_angle_beta 90.00
_cell_angle_gamma 120.00
_space_group_name_H-M_alt 'R -3 m'
_space_group_IT_number 166
_space_group_name_Hall '-R 3 2"'
loop_
_atom_site_label
_atom_site_type_symbol
_atom_site_fract_x
_atom_site_fract_y
_atom_site_fract_z
Ca1 Ca 0.0000 0.0000 0.2489
Re1 Re 0.0000 0.0000 0.0000
Pt1 Pt 0.0000 0.0000 0.5000
```

Values from the calculation:
* E_form: 391 meV/atom
* DOS at the Fermi energy: 11.977 states/eV per cell
* total energy: -5.2324 eV/atom